1.
Entry from Alexandria: a relaxed structure of TaZnCrPd (GGA-PBE).

It has space group Imm2 (No. 44), with a = 3.912 Å, b = 3.926 Å, c = 7.913 Å, α = 90.00°, β = 90.00° and γ = 90.00°. The distinct sites, in fractional coordinates, are Ta at (0.000, 0.000, 0.000), Zn at (0.000, 0.000, 0.500), Cr at (0.000, 0.500, 0.750) and Pd at (0.000, 0.500, 0.250).

The value obtained for the offset from the most stable computed form is 114.7 meV per atom. Its electronic total energy is -7.002 eV/atom. The value obtained for the density of states at the Fermi level is 0.7043 states/eV per atom. As for the total moment: 2.67 μB/f.u.

2.
Entry from Alexandria: a relaxed structure of TaZnCrPd (GGA-PBE).

It has space group P4mm (No. 99), with a = 3.249 Å, b = 3.249 Å, c = 5.731 Å, α = 90.00°, β = 90.00° and γ = 90.00°. The distinct sites, in fractional coordinates, are Ta at (0.000, 0.000, 0.000), Zn at (0.500, 0.500, 0.718), Cr at (0.500, 0.500, 0.213) and Pd at (0.000, 0.000, 0.503).

The value obtained for the offset from the most stable computed form is 140.4 meV per atom. Its electronic total energy is -6.977 eV/atom. The value obtained for the density of states at the Fermi level is 0.7134 states/eV per atom. As for the total moment: 0.92 μB/f.u.

3.
Entry from Alexandria: a relaxed structure of TaZnCrPd (GGA-PBE).

It has space group F-43m (No. 216), with a = 6.208 Å, b = 6.208 Å, c = 6.208 Å, α = 90.00°, β = 90.00° and γ = 90.00°. The distinct sites, in fractional coordinates, are Ta at (0.000, 0.000, 0.000), Zn at (0.000, 0.000, 0.500), Cr at (0.250, 0.250, 0.750) and Pd at (0.250, 0.250, 0.250).

The value obtained for the offset from the most stable computed form is 190.9 meV per atom. Its electronic total energy is -6.926 eV/atom. The value obtained for the density of states at the Fermi level is 1.3028 states/eV per atom. As for the total moment: 1.16 μB/f.u.

4.
Entry from Alexandria: a relaxed structure of TaZnCrPd (GGA-PBE).

It has space group Imm2 (No. 44), with a = 3.220 Å, b = 4.058 Å, c = 9.008 Å, α = 90.00°, β = 90.00° and γ = 90.00°. The distinct sites, in fractional coordinates, are Ta at (0.000, 0.000, 0.000), Zn at (0.000, 0.500, 0.241), Cr at (0.000, 0.000, 0.504) and Pd at (0.000, 0.500, 0.755).

The value obtained for the offset from the most stable computed form is 75.8 meV per atom. Its electronic total energy is -7.041 eV/atom. The value obtained for the density of states at the Fermi level is 0.7553 states/eV per atom. As for the total moment: 1.01 μB/f.u.

5.
Entry from Alexandria: a relaxed structure of CrTcPd2 (GGA-PBE).

It has space group I-42d (No. 122), with a = 7.013 Å, b = 7.013 Å, c = 5.060 Å, α = 90.00°, β = 90.00° and γ = 90.00°. The distinct sites, in fractional coordinates, are Cr at (0.000, 0.000, 0.000), Tc at (0.000, 0.000, 0.500) and Pd at (0.218, 0.250, 0.125).

The value obtained for the offset from the most stable computed form is 166.5 meV per atom. Its electronic total energy is -6.878 eV/atom. The value obtained for the density of states at the Fermi level is 1.7847 states/eV per atom. As for the total moment: 0.86 μB/f.u.

6.
Entry from Alexandria: a relaxed structure of CrTc2Pd (GGA-PBE).

It has space group I-42d (No. 122), with a = 3.684 Å, b = 3.684 Å, c = 18.549 Å, α = 90.00°, β = 90.00° and γ = 90.00°. The distinct sites, in fractional coordinates, are Cr at (0.000, 0.000, 0.000), Tc at (0.222, 0.250, 0.125) and Pd at (0.000, 0.000, 0.500).

The value obtained for the offset from the most stable computed form is 216.1 meV per atom. Its electronic total energy is -8.316 eV/atom. The value obtained for the density of states at the Fermi level is 0.9378 states/eV per atom. As for the total moment: 2.64 μB/f.u.

7.
Entry from Alexandria: a relaxed structure of CrTcPd3 (GGA-PBE).

It has space group Pm-3m (No. 221), with a = 4.760 Å, b = 4.760 Å, c = 4.760 Å, α = 90.00°, β = 90.00° and γ = 90.00°. The distinct sites, in fractional coordinates, are Cr at (0.000, 0.000, 0.000), Tc at (0.500, 0.500, 0.500) and Pd at (0.000, 0.500, 0.500).

The value obtained for the offset from the most stable computed form is 3.8 meV per atom. Its electronic total energy is -5.847 eV/atom. The value obtained for the density of states at the Fermi level is 0.9213 states/eV per atom. As for the total moment: 4.22 μB/f.u.

8.
Entry from Alexandria: a relaxed structure of CrTc2Pd (GGA-PBE).

It has space group Fm-3m (No. 225), with a = 6.102 Å, b = 6.102 Å, c = 6.102 Å, α = 90.00°, β = 90.00° and γ = 90.00°. The distinct sites, in fractional coordinates, are Cr at (0.000, 0.000, 0.000), Tc at (0.250, 0.250, 0.250) and Pd at (0.000, 0.000, 0.500).

The value obtained for the offset from the most stable computed form is 0.0 meV per atom. Its electronic total energy is -8.532 eV/atom. The value obtained for the density of states at the Fermi level is 1.6378 states/eV per atom. As for the total moment: 0.00 μB/f.u.

9.
Entry from Alexandria: a relaxed structure of Cr4TcPd (GGA-PBE).

It has space group F-43m (No. 216), with a = 6.731 Å, b = 6.731 Å, c = 6.731 Å, α = 90.00°, β = 90.00° and γ = 90.00°. The distinct sites, in fractional coordinates, are Cr at (0.125, 0.125, 0.125), Tc at (0.250, 0.250, 0.750) and Pd at (0.000, 0.000, 0.500).

Its electronic total energy is -8.954 eV/atom. The value obtained for the density of states at the Fermi level is 1.3528 states/eV per atom. As for the total moment: 0.00 μB/f.u.

10.
Entry from Alexandria: a relaxed structure of CrTcPd (GGA-PBE).

It has space group I4mm (No. 107), with a = 2.741 Å, b = 2.741 Å, c = 11.293 Å, α = 90.00°, β = 90.00° and γ = 90.00°. The distinct sites, in fractional coordinates, are Cr at (0.000, 0.000, 0.000), Tc at (0.000, 0.000, 0.646) and Pd at (0.000, 0.000, 0.331).

Its electronic total energy is -8.251 eV/atom. The value obtained for the density of states at the Fermi level is 1.1958 states/eV per atom. As for the total moment: 1.27 μB/f.u.

11.
Entry from Alexandria: a relaxed structure of CrTcPd2 (GGA-PBE).

It has space group Fm-3m (No. 225), with a = 6.166 Å, b = 6.166 Å, c = 6.166 Å, α = 90.00°, β = 90.00° and γ = 90.00°. The distinct sites, in fractional coordinates, are Cr at (0.000, 0.000, 0.000), Tc at (0.000, 0.000, 0.500) and Pd at (0.250, 0.250, 0.250).

The value obtained for the offset from the most stable computed form is 0.0 meV per atom. Its electronic total energy is -7.044 eV/atom. The value obtained for the density of states at the Fermi level is 2.3070 states/eV per atom. As for the total moment: 1.03 μB/f.u.

12.
Entry from Alexandria: a relaxed structure of Cr3TcPd (GGA-PBE).

It has space group Pm-3m (No. 221), with a = 4.422 Å, b = 4.422 Å, c = 4.422 Å, α = 90.00°, β = 90.00° and γ = 90.00°. The distinct sites, in fractional coordinates, are Cr at (0.000, 0.000, 0.500), Tc at (0.500, 0.500, 0.500) and Pd at (0.000, 0.000, 0.000).

Its electronic total energy is -6.779 eV/atom. The value obtained for the density of states at the Fermi level is 2.3055 states/eV per atom. As for the total moment: 2.38 μB/f.u.